Record 1
## TbEr6Th2 (PBE-GGA)

Data for a relaxed structure of TbEr6Th2.

Cell: 5.3272 5.3272 16.7701 Å, 90.00 90.00 120.00°
Space group P-6m2 (No. 187)
Symmetry-distinct sites (fractional):
Tb 0.0000 0.0000 0.0000 [1 per cell]
Er 0.0000 0.0000 0.1813 [2 per cell]
Er 0.0000 0.0000 0.3685 [2 per cell]
Er 0.3333 0.6667 0.2264 [2 per cell]
Th 0.3333 0.6667 0.4116 [2 per cell]

## Properties
Energy relative to the elements: 1.6095 eV per atom
Offset from the most stable computed form: 1425 meV/atom

Record 2
## Ag5BiBr8 (PBE-GGA)

Data for a relaxed structure of Ag5BiBr8.

Cell: 10.2527 10.2527 8.1490 Å, 90.00 90.00 90.00°
Space group I-4 (No. 82)
Symmetry-distinct sites (fractional):
Ag 0.0000 0.0000 0.0000 [2 per cell]
Ag 0.2007 0.2596 0.1575 [8 per cell]
Bi 0.0000 0.5000 0.7500 [2 per cell]
Br 0.0519 0.7439 0.6062 [8 per cell]
Br 0.0675 0.7470 0.0931 [8 per cell]

## Properties
Electronic total energy: -36.85 eV/f.u.

Record 3
## CaSiSeBr2 (PBE-GGA)

Data for a relaxed structure of CaSiSeBr2.

Cell: 5.3682 5.3682 5.8137 Å, 90.00 90.00 90.00°
Space group P4/mmm (No. 123)
Symmetry-distinct sites (fractional):
Ca 0.0000 0.0000 0.0000 [1 per cell]
Si 0.5000 0.5000 0.5000 [1 per cell]
Se 0.0000 0.0000 0.5000 [1 per cell]
Br 0.0000 0.5000 0.0000 [2 per cell]

## Properties
Offset from the most stable computed form: 400 meV/atom

Record 4
## Mg2CF (PBE-GGA)

Data for a relaxed structure of Mg2CF.

Cell: 5.7043 5.7043 5.7043 Å, 90.00 90.00 90.00°
Space group Fm-3m (No. 225)
Symmetry-distinct sites (fractional):
Mg 0.2500 0.2500 0.2500 [8 per cell]
C 0.0000 0.0000 0.0000 [4 per cell]
F 0.0000 0.0000 0.5000 [4 per cell]

## Properties
Offset from the most stable computed form: 292 meV/atom

no.,calculated density (g/cm3)
1,6.55
2,5.38
3,3.04
4,2.85